Entry from the Alexandria database: a geometry-optimized PmBIrC structure (PBE).

```
8
Lattice="-1.716 -3.382 0.172 2.422 -1.091 2.712 -4.931 2.784 5.524" Properties=species:S:1:pos:R:3 pbc="T T T"
Pm -2.905 1.778 5.966
Pm -1.674 -1.230 1.000
B -0.488 0.414 3.259
B -4.091 0.134 3.707
Ir -2.466 1.392 2.762
Ir -2.113 -0.844 4.204
C -5.038 0.669 4.768
C 0.459 -0.121 2.198
```

Properties
- size of the total moment (μB per cell) = 0.00
- DOS(E_F) (states/eV/cell) = 6.32
- volume (Å³/f.u.) = 57.0
- E_form (eV/atom) = -0.424
- final energy (eV/atom) = -7.802